1.
{
  "formula": "BaMgOs2",
  "functional": "SCAN",
  "state": "PBEsol geometry",
  "cell": [[4.137, 0.000, 0.000], [0.000, 4.137, 0.000], [0.000, 0.000, 4.586]],
  "species": ["Ba", "Mg", "Os", "Os"],
  "fractional_positions": [[0.000, 0.000, 0.000], [0.500, 0.500, 0.000], [0.000, 0.500, 0.500], [0.500, 0.000, 0.500]],
  "dft_energy_ev_per_cell": -182.98,
  "space_group": "P4/mmm",
  "magmom_total_mub_per_cell": 2.474,
  "dos_at_fermi_per_ev_fu": 3.53
}



2.
{
  "formula": "BaMgSbOs2",
  "functional": "SCAN",
  "state": "PBEsol geometry",
  "cell": [[4.918, 0.000, 0.000], [0.000, 4.918, 0.000], [0.000, 0.000, 5.895]],
  "species": ["Ba", "Mg", "Sb", "Os", "Os"],
  "fractional_positions": [[0.000, 0.000, 0.000], [0.500, 0.500, 0.000], [0.000, 0.000, 0.500], [0.000, 0.500, 0.500], [0.500, 0.000, 0.500]],
  "space_group": "P4/mmm",
  "magmom_total_mub_per_cell": 1.335,
  "raw_formation_energy_kj_per_mol_fu": 741,
  "dos_at_fermi_per_ev_fu": 3.66
}



- Number 1 is which compound?
  BaMgOs2